Li2SnHRh (PBE, optimized geometry); total magnetization = 0.00 μB/f.u.; V = 62.0 Å³/f.u.; offset from the most stable computed form = 0.0 meV per atom
1.0
4.1102 0.0000 0.0000
0.0000 4.1102 0.0000
0.0000 0.0000 3.6679
Li Sn H Rh
2 1 1 1
direct
0.0000 0.5000 0.0000
0.5000 0.0000 0.0000
0.0000 0.0000 0.5000
0.5000 0.5000 0.0000
0.5000 0.5000 0.5000